[1]
The following is a DFT calculation (PBE) of crystalline KSi2BiPt at its relaxed geometry.

a = 5.5596 Å, b = 5.5596 Å, c = 5.1655 Å
α = 90.00°, β = 90.00°, γ = 90.00°
Fractional positions:
K (0.0000, 0.0000, 0.0000)
Si (0.0000, 0.5000, 0.5000)
Si (0.5000, 0.0000, 0.5000)
Bi (0.5000, 0.5000, 0.5000)
Pt (0.5000, 0.5000, 0.0000)

Values from the calculation:
N(E_F) (states/eV/cell): 4.28
ρ (g cm⁻³): 5.193
E_form (uncorrected) (eV/atom): 0.890


[2]
The following is a DFT calculation (PBE) of crystalline AcTmPt3 at its relaxed geometry.

a = 13.7023 Å, b = 13.7023 Å, c = 4.3415 Å
α = 90.00°, β = 90.00°, γ = 163.30°
Fractional positions:
Ac (0.0758, 0.9242, 0.7500)
Ac (0.9242, 0.0758, 0.2500)
Tm (0.2080, 0.7920, 0.2500)
Tm (0.7920, 0.2080, 0.7500)
Pt (0.3102, 0.6898, 0.2500)
Pt (0.3713, 0.6287, 0.7500)
Pt (0.4701, 0.5299, 0.7500)
Pt (0.5299, 0.4701, 0.2500)
Pt (0.6287, 0.3713, 0.2500)
Pt (0.6898, 0.3102, 0.7500)

Values from the calculation:
Formation energy (eV per formula unit): -5.77
N(E_F) (states/eV/cell): 6.42
ρ (g cm⁻³): 13.912


[3]
The following is a DFT calculation (PBE) of crystalline NaTcSn6 at its relaxed geometry.

a = 6.1134 Å, b = 6.1134 Å, c = 6.1134 Å
α = 100.75°, β = 100.75°, γ = 100.75°
Fractional positions:
Na (0.0000, 0.0000, 0.0000)
Tc (0.5000, 0.5000, 0.5000)
Sn (0.1987, 0.1987, 0.6171)
Sn (0.1987, 0.6171, 0.1987)
Sn (0.3829, 0.8013, 0.8013)
Sn (0.6171, 0.1987, 0.1987)
Sn (0.8013, 0.3829, 0.8013)
Sn (0.8013, 0.8013, 0.3829)

Values from the calculation:
Formation energy (eV per formula unit): 0.49
N(E_F) (states/eV/cell): 4.47
ρ (g cm⁻³): 6.446


[4]
The following is a DFT calculation (PBE) of crystalline ScNiRu3 at its relaxed geometry.

a = 4.5579 Å, b = 4.5579 Å, c = 4.5579 Å
α = 90.00°, β = 90.00°, γ = 90.00°
Fractional positions:
Sc (0.0000, 0.0000, 0.0000)
Ni (0.5000, 0.5000, 0.5000)
Ru (0.0000, 0.0000, 0.5000)
Ru (0.0000, 0.5000, 0.0000)
Ru (0.5000, 0.0000, 0.0000)

Values from the calculation:
Formation energy (eV per formula unit): 8.95
N(E_F) (states/eV/cell): 9.08
ρ (g cm⁻³): 7.135
Energy above the most stable polymorph in this dataset (kJ/mol of atoms): 87.1


[5]
The following is a DFT calculation (PBE) of crystalline TbPrSc6 at its relaxed geometry.

a = 6.8151 Å, b = 6.8151 Å, c = 5.3459 Å
α = 90.00°, β = 90.00°, γ = 120.00°
Fractional positions:
Tb (0.0000, 0.0000, 0.0000)
Pr (0.6667, 0.3333, 0.5000)
Sc (0.0102, 0.5051, 0.0000)
Sc (0.1709, 0.3417, 0.5000)
Sc (0.1709, 0.8291, 0.5000)
Sc (0.4949, 0.5051, 0.0000)
Sc (0.4949, 0.9898, 0.0000)
Sc (0.6583, 0.8291, 0.5000)

Values from the calculation:
Formation energy (eV per formula unit): 0.29
N(E_F) (states/eV/cell): 15.83
ρ (g cm⁻³): 4.398


[6]
The following is a DFT calculation (PBE) of crystalline Ac6PtRh2N at its relaxed geometry.

a = 7.3345 Å, b = 7.3346 Å, c = 8.0357 Å
α = 90.02°, β = 117.11°, γ = 119.95°
Fractional positions:
Ac (0.0000, 0.0000, 0.0000)
Ac (0.0044, 0.8423, 0.4801)
Ac (0.3353, 0.4648, 0.4802)
Ac (0.3934, 0.6962, 0.9988)
Ac (0.6965, 0.3022, 0.9992)
Ac (0.7134, 0.1734, 0.4803)
Pt (0.8692, 0.5858, 0.7577)
Rh (0.4993, 0.9014, 0.7028)
Rh (0.5176, 0.4100, 0.2299)
N (0.8775, 0.0899, 0.2673)

Values from the calculation:
N(E_F) (states/eV/cell): 6.15
ρ (g cm⁻³): 9.264
E_form (uncorrected) (eV/atom): -0.713


[7]
The following is a DFT calculation (PBE) of crystalline La2TcH at its relaxed geometry.

a = 4.9090 Å, b = 4.9090 Å, c = 4.9090 Å
α = 60.00°, β = 60.00°, γ = 60.00°
Fractional positions:
La (0.2500, 0.2500, 0.2500)
La (0.7500, 0.7500, 0.7500)
Tc (0.0000, 0.0000, 0.0000)
H (0.5000, 0.5000, 0.5000)

Values from the calculation:
N(E_F) (states/eV/cell): 1.85
ρ (g cm⁻³): 7.480
Energy above the most stable polymorph in this dataset (kJ/mol of atoms): 0.0


[8]
The following is a DFT calculation (PBE) of crystalline NdThNO at its relaxed geometry.

a = 4.5486 Å, b = 4.5486 Å, c = 8.6950 Å
α = 90.00°, β = 90.00°, γ = 90.00°
Fractional positions:
Nd (0.2500, 0.2500, 0.0964)
Nd (0.7500, 0.7500, 0.9036)
Th (0.2500, 0.7500, 0.5000)
Th (0.7500, 0.2500, 0.5000)
N (0.2500, 0.2500, 0.5917)
N (0.7500, 0.7500, 0.4083)
O (0.2500, 0.7500, 0.0000)
O (0.7500, 0.2500, 0.0000)

Values from the calculation:
N(E_F) (states/eV/cell): 2.99
ρ (g cm⁻³): 7.501
E_form (uncorrected) (eV/atom): -1.667


> Look up the ρ of the sixth one.

9.264 g cm⁻³